## a
VASP calculation (GGA-PBE) on a geometry-optimized TcTe2Mo structure.

a = 4.513 Å, b = 4.513 Å, c = 5.694 Å
α = 77.85°, β = 77.85°, γ = 42.34°
Sites, in units of the cell vectors:
Te (0.000, 0.000, 0.000)
Te (0.500, 0.500, 0.500)
Tc (0.250, 0.250, 0.250)
Mo (0.750, 0.750, 0.750)

**Volume**: 76.08 Å³ per cell

## b
VASP calculation (GGA-PBE) on a geometry-optimized TcTe2Mo structure.

a = 4.314 Å, b = 3.160 Å, c = 5.868 Å
α = 91.39°, β = 90.00°, γ = 90.00°
Sites, in units of the cell vectors:
Te (0.000, 0.549, 0.497)
Te (0.000, 0.951, 0.003)
Tc (0.500, 0.750, 0.750)
Mo (0.500, 0.250, 0.250)

**Volume**: 79.98 Å³ per cell

## c
VASP calculation (GGA-PBE) on a geometry-optimized TcTe2Mo structure.

a = 3.319 Å, b = 3.319 Å, c = 6.624 Å
α = 90.00°, β = 90.00°, γ = 90.00°
Sites, in units of the cell vectors:
Te (0.000, 0.000, 0.499)
Te (0.000, 0.000, 0.001)
Tc (0.500, 0.500, 0.750)
Mo (0.500, 0.500, 0.250)

**Volume**: 72.97 Å³ per cell

## d
VASP calculation (GGA-PBE) on a geometry-optimized TcTe2Mo structure.

a = 8.457 Å, b = 8.457 Å, c = 8.457 Å
α = 22.24°, β = 22.24°, γ = 22.24°
Sites, in units of the cell vectors:
Te (0.499, 0.499, 0.499)
Te (0.001, 0.001, 0.001)
Tc (0.750, 0.750, 0.750)
Mo (0.250, 0.250, 0.250)

**Volume**: 75.99 Å³ per cell

Last place for stability: b

## a
VASP calculation (GGA-PBE) on a geometry-optimized TcTe2Mo structure.

a = 4.690 Å, b = 4.690 Å, c = 4.690 Å
α = 60.00°, β = 60.00°, γ = 60.00°
Sites, in units of the cell vectors:
Mo (0.000, 0.000, 0.000)
Te (0.250, 0.250, 0.250)
Te (0.750, 0.750, 0.750)
Tc (0.500, 0.500, 0.500)

**Volume**: 72.97 Å³ per cell

## b
VASP calculation (GGA-PBE) on a geometry-optimized TcTe2Mo structure.

a = 3.194 Å, b = 3.194 Å, c = 8.516 Å
α = 90.00°, β = 90.00°, γ = 90.00°
Sites, in units of the cell vectors:
Tc (0.500, 0.500, 0.733)
Te (0.500, 0.500, 0.331)
Te (0.000, 0.000, 0.913)
Mo (0.000, 0.000, 0.522)

**Volume**: 86.89 Å³ per cell

## c
VASP calculation (GGA-PBE) on a geometry-optimized TcTe2Mo structure.

a = 5.865 Å, b = 5.865 Å, c = 5.865 Å
α = 147.29°, β = 134.22°, γ = 57.39°
Sites, in units of the cell vectors:
Te (0.740, 0.240, 0.500)
Te (0.019, 0.019, 0.000)
Mo (0.510, 0.510, 0.000)
Tc (0.232, 0.732, 0.500)

**Volume**: 77.51 Å³ per cell

Last place for stability: c

## a
VASP calculation (GGA-PBE) on a geometry-optimized TcTe3Mo structure.

a = 5.289 Å, b = 5.289 Å, c = 5.289 Å
α = 90.00°, β = 90.00°, γ = 90.00°
Sites, in units of the cell vectors:
Mo (0.000, 0.000, 0.000)
Te (0.000, 0.500, 0.000)
Te (0.500, 0.000, 0.000)
Te (0.000, 0.000, 0.500)
Tc (0.500, 0.500, 0.500)

**Volume**: 147.96 Å³ per cell

## b
VASP calculation (GGA-PBE) on a geometry-optimized TcTe3Mo structure.

a = 3.205 Å, b = 9.336 Å, c = 9.786 Å
α = 115.23°, β = 90.00°, γ = 99.88°
Sites, in units of the cell vectors:
Tc (0.437, 0.874, 0.037)
Tc (0.563, 0.126, 0.963)
Te (0.056, 0.112, 0.726)
Te (0.194, 0.388, 0.118)
Te (0.944, 0.888, 0.274)
Te (0.806, 0.612, 0.882)
Te (0.341, 0.681, 0.554)
Te (0.659, 0.319, 0.446)
Mo (0.931, 0.861, 0.804)
Mo (0.069, 0.139, 0.196)

**Volume**: 260.08 Å³ per cell

Last place for stability: a

## a
VASP calculation (GGA-PBE) on a geometry-optimized TiTcMo structure.

a = 4.442 Å, b = 5.381 Å, c = 7.806 Å
α = 90.00°, β = 90.00°, γ = 90.00°
Sites, in units of the cell vectors:
Ti (0.750, 0.518, 0.254)
Ti (0.750, 0.018, 0.246)
Ti (0.250, 0.982, 0.754)
Ti (0.250, 0.482, 0.746)
Tc (0.750, 0.174, 0.925)
Tc (0.250, 0.326, 0.425)
Tc (0.250, 0.826, 0.075)
Tc (0.750, 0.674, 0.575)
Mo (0.750, 0.670, 0.913)
Mo (0.250, 0.830, 0.413)
Mo (0.750, 0.170, 0.587)
Mo (0.250, 0.330, 0.087)

**Volume**: 186.58 Å³ per cell

## b
VASP calculation (GGA-PBE) on a geometry-optimized TiTcMo structure.

a = 2.802 Å, b = 4.356 Å, c = 4.356 Å
α = 120.00°, β = 90.00°, γ = 90.00°
Sites, in units of the cell vectors:
Tc (0.672, 0.333, 0.667)
Ti (0.338, 0.667, 0.333)
Mo (0.990, 0.000, 0.000)

**Volume**: 46.03 Å³ per cell

## c
VASP calculation (GGA-PBE) on a geometry-optimized TiTcMo structure.

a = 3.125 Å, b = 4.357 Å, c = 6.937 Å
α = 90.00°, β = 103.02°, γ = 90.00°
Sites, in units of the cell vectors:
Mo (0.255, 0.750, 0.509)
Mo (0.745, 0.250, 0.491)
Tc (0.914, 0.750, 0.829)
Tc (0.086, 0.250, 0.171)
Ti (0.580, 0.750, 0.159)
Ti (0.420, 0.250, 0.841)

**Volume**: 92.05 Å³ per cell

## d
VASP calculation (GGA-PBE) on a geometry-optimized TiTcMo structure.

a = 3.109 Å, b = 3.109 Å, c = 5.239 Å
α = 107.26°, β = 107.26°, γ = 90.00°
Sites, in units of the cell vectors:
Mo (0.329, 0.329, 0.658)
Ti (0.002, 0.002, 0.005)
Tc (0.669, 0.669, 0.338)

**Volume**: 45.97 Å³ per cell

Last place for stability: a

## a
VASP calculation (GGA-PBE) on a geometry-optimized TiTcMo2 structure.

a = 7.172 Å, b = 7.172 Å, c = 5.707 Å
α = 51.07°, β = 51.07°, γ = 90.00°
Sites, in units of the cell vectors:
Ti (0.500, 0.500, 0.000)
Ti (0.250, 0.750, 0.500)
Mo (0.646, 0.125, 0.250)
Mo (0.875, 0.896, 0.750)
Mo (0.104, 0.625, 0.250)
Mo (0.375, 0.354, 0.750)
Tc (0.750, 0.250, 0.500)
Tc (0.000, 0.000, 0.000)

**Volume**: 134.62 Å³ per cell

## b
VASP calculation (GGA-PBE) on a geometry-optimized TiTcMo2 structure.

a = 3.133 Å, b = 4.436 Å, c = 4.436 Å
α = 90.00°, β = 90.00°, γ = 90.00°
Sites, in units of the cell vectors:
Tc (0.500, 0.500, 0.500)
Ti (0.500, 0.000, 0.000)
Mo (0.000, 0.000, 0.500)
Mo (0.000, 0.500, 0.000)

**Volume**: 61.67 Å³ per cell

Last place for stability: a

## a
VASP calculation (GGA-PBE) on a geometry-optimized TiTcMo2 structure.

a = 3.132 Å, b = 4.380 Å, c = 5.242 Å
α = 114.58°, β = 107.38°, γ = 90.00°
Sites, in units of the cell vectors:
Tc (0.500, 0.000, 0.000)
Ti (0.000, 0.500, 0.000)
Mo (0.754, 0.754, 0.508)
Mo (0.246, 0.246, 0.492)

**Volume**: 61.78 Å³ per cell

## b
VASP calculation (GGA-PBE) on a geometry-optimized TiTcMo2 structure.

a = 4.431 Å, b = 4.431 Å, c = 4.431 Å
α = 60.00°, β = 60.00°, γ = 60.00°
Sites, in units of the cell vectors:
Tc (0.000, 0.000, 0.000)
Ti (0.500, 0.500, 0.500)
Mo (0.250, 0.250, 0.250)
Mo (0.750, 0.750, 0.750)

**Volume**: 61.50 Å³ per cell

Last place for stability: b

## a
VASP calculation (GGA-PBE) on a geometry-optimized Ti3TcMo structure.

a = 4.612 Å, b = 4.612 Å, c = 4.612 Å
α = 90.00°, β = 90.00°, γ = 90.00°
Sites, in units of the cell vectors:
Ti (0.000, 0.000, 0.500)
Ti (0.000, 0.500, 0.000)
Ti (0.500, 0.000, 0.000)
Tc (0.000, 0.000, 0.000)
Mo (0.500, 0.500, 0.500)

**Volume**: 98.12 Å³ per cell

## b
VASP calculation (GGA-PBE) on a geometry-optimized Ti3TcMo structure.

a = 4.507 Å, b = 4.504 Å, c = 8.164 Å
α = 90.00°, β = 106.49°, γ = 90.00°
Sites, in units of the cell vectors:
Ti (0.763, 0.344, 0.808)
Ti (0.073, 0.844, 0.426)
Ti (0.574, 0.344, 0.429)
Ti (0.262, 0.844, 0.807)
Ti (0.451, 0.844, 0.185)
Ti (0.952, 0.344, 0.189)
Mo (0.867, 0.844, 0.016)
Mo (0.159, 0.344, 0.598)
Tc (0.664, 0.844, 0.607)
Tc (0.362, 0.344, 0.007)

**Volume**: 158.91 Å³ per cell

Last place for stability: a

## a
VASP calculation (GGA-PBE) on a geometry-optimized Ti2Tc4Mo structure.

a = 5.286 Å, b = 5.286 Å, c = 5.286 Å
α = 109.03°, β = 109.69°, γ = 109.69°
Sites, in units of the cell vectors:
Ti (0.500, 0.500, 0.000)
Ti (0.500, 0.000, 0.500)
Tc (0.000, 0.000, 0.500)
Tc (0.500, 0.000, 0.000)
Tc (0.500, 0.500, 0.500)
Tc (0.000, 0.500, 0.000)
Mo (0.000, 0.000, 0.000)

**Volume**: 113.71 Å³ per cell

## b
VASP calculation (GGA-PBE) on a geometry-optimized Ti2Tc4Mo structure.

a = 4.607 Å, b = 4.607 Å, c = 7.055 Å
α = 70.94°, β = 70.94°, γ = 90.00°
Sites, in units of the cell vectors:
Tc (0.807, 0.807, 0.385)
Tc (0.193, 0.193, 0.615)
Tc (0.000, 0.500, 0.000)
Tc (0.500, 0.000, 0.000)
Ti (0.626, 0.626, 0.747)
Ti (0.374, 0.374, 0.253)
Mo (0.000, 0.000, 0.000)

**Volume**: 132.84 Å³ per cell

Last place for stability: b

## a
VASP calculation (GGA-PBE) on a geometry-optimized Ti2Tc2Mo structure.

a = 5.039 Å, b = 6.957 Å, c = 6.364 Å
α = 123.13°, β = 113.32°, γ = 90.00°
Sites, in units of the cell vectors:
Ti (0.909, 0.758, 0.817)
Ti (0.591, 0.940, 0.183)
Ti (0.409, 0.060, 0.817)
Ti (0.091, 0.242, 0.183)
Tc (0.323, 0.623, 0.647)
Tc (0.677, 0.377, 0.353)
Tc (0.823, 0.024, 0.647)
Tc (0.177, 0.976, 0.353)
Mo (0.250, 0.500, 0.000)
Mo (0.750, 0.500, 0.000)

**Volume**: 164.65 Å³ per cell

## b
VASP calculation (GGA-PBE) on a geometry-optimized Ti2Tc2Mo structure.

a = 7.115 Å, b = 7.115 Å, c = 3.147 Å
α = 90.00°, β = 90.00°, γ = 90.00°
Sites, in units of the cell vectors:
Ti (0.844, 0.344, 0.500)
Ti (0.344, 0.156, 0.500)
Ti (0.156, 0.656, 0.500)
Ti (0.656, 0.844, 0.500)
Mo (0.500, 0.500, 0.000)
Mo (0.000, 0.000, 0.000)
Tc (0.851, 0.649, 0.000)
Tc (0.351, 0.851, 0.000)
Tc (0.649, 0.149, 0.000)
Tc (0.149, 0.351, 0.000)

**Volume**: 159.27 Å³ per cell

Last place for stability: a

## a
VASP calculation (GGA-PBE) on a geometry-optimized TiTcMo3 structure.

a = 4.578 Å, b = 4.578 Å, c = 4.697 Å
α = 112.62°, β = 112.62°, γ = 77.59°
Sites, in units of the cell vectors:
Tc (0.715, 0.715, 0.195)
Mo (0.286, 0.730, 0.521)
Mo (0.730, 0.286, 0.521)
Mo (0.316, 0.316, 0.853)
Ti (0.015, 0.015, 0.034)

**Volume**: 83.62 Å³ per cell

## b
VASP calculation (GGA-PBE) on a geometry-optimized TiTcMo3 structure.

a = 4.667 Å, b = 4.667 Å, c = 4.667 Å
α = 90.00°, β = 90.00°, γ = 90.00°
Sites, in units of the cell vectors:
Mo (0.000, 0.000, 0.500)
Mo (0.500, 0.000, 0.000)
Mo (0.000, 0.500, 0.000)
Ti (0.500, 0.500, 0.500)
Tc (0.000, 0.000, 0.000)

**Volume**: 101.62 Å³ per cell

Last place for stability: b

## a
VASP calculation (GGA-PBE) on a geometry-optimized TlTc3Mo structure.

a = 4.804 Å, b = 4.804 Å, c = 4.804 Å
α = 90.00°, β = 90.00°, γ = 90.00°
Sites, in units of the cell vectors:
Tc (0.000, 0.000, 0.500)
Tc (0.500, 0.000, 0.000)
Tc (0.000, 0.500, 0.000)
Mo (0.500, 0.500, 0.500)
Tl (0.000, 0.000, 0.000)

**Volume**: 110.90 Å³ per cell

## b
VASP calculation (GGA-PBE) on a geometry-optimized TlTc3Mo structure.

a = 4.734 Å, b = 4.734 Å, c = 4.734 Å
α = 90.00°, β = 90.00°, γ = 90.00°
Sites, in units of the cell vectors:
Tc (0.000, 0.000, 0.500)
Tc (0.500, 0.000, 0.000)
Tc (0.000, 0.500, 0.000)
Tl (0.500, 0.500, 0.500)
Mo (0.000, 0.000, 0.000)

**Volume**: 106.12 Å³ per cell

Last place for stability: a